# 1
Compound: K2Ba4Pt
Source: Alexandria
Functional: PBE
Structure: optimized geometry

Electronic total energy: -34.519 eV for the cell shown
DOS(E_F): 14.44 states/eV/cell
Calculated formation energy: -0.190 eV per atom

Unit cell a=6.3548 b=6.3548 c=22.1764 alpha=90.00 beta=90.00 gamma=90.00
Last column: nearest neighbours and their distance in Å.
Space group I4/mmm (No. 139)
Asymmetric unit:
K (0.0000, 0.0000, 0.1580) [4 per cell]  9 Ba 4.48-4.73
Ba (0.0000, 0.0000, 0.3601) [4 per cell]  1 Pt 3.10
Ba (0.0000, 0.5000, 0.0000) [4 per cell]  2 Pt 3.18
Pt (0.0000, 0.0000, 0.5000) [2 per cell]  6 Ba 3.10-3.18

# 2
Compound: K2BaPt
Source: Alexandria
Functional: PBE
Structure: optimized geometry

Electronic total energy: -20.268 eV for the cell shown
DOS(E_F): 2.99 states/eV/cell
Calculated formation energy: 0.006 eV per atom

Unit cell a=4.8483 b=4.8483 c=12.7373 alpha=90.00 beta=90.00 gamma=90.00
Last column: nearest neighbours and their distance in Å.
Space group I4/mmm (No. 139)
Asymmetric unit:
K (0.0000, 0.5000, 0.2500) [4 per cell]  4 K 3.43
Ba (0.0000, 0.0000, 0.0000) [2 per cell]  4 Pt 3.43
Pt (0.0000, 0.0000, 0.5000) [2 per cell]  4 Ba 3.43

Q: Which of these has the lowest DOS(E_F)?
A: K2BaPt